(1)
Compound: Mn2TcAu
Source: Alexandria via LeMat-Bulk
Functional: GGA-PBE
Structure: optimized geometry

Geometry as CIF:
```
data_Mn2TcAu
_chemical_formula_sum 'Mn4 Tc2 Au2'
_space_group_name_H-M_alt 'C 1 m 1'
_space_group_IT_number 8
_cell_length_a 9.2246
_cell_length_b 2.8989
_cell_length_c 4.5560
_cell_angle_alpha 90.00
_cell_angle_beta 103.44
_cell_angle_gamma 90.00
loop_
_space_group_symop_operation_xyz
'x,y,z'
'x,-y,z'
'x+1/2,y+1/2,z'
'x+1/2,-y+1/2,z'
loop_
_atom_site_label
_atom_site_fract_x
_atom_site_fract_y
_atom_site_fract_z
_atom_site_occupancy
Mn1 0.0000 0.0000 0.0000 1
Mn2 0.2482 0.0000 0.7076 1
Tc1 0.2365 0.5000 0.1789 1
Au1 0.4961 0.0000 0.4947 1
```

## Properties
The calculated total energy comes out at -7.756 eV/atom.


(2)
Compound: LaTl2Co
Source: Alexandria via LeMat-Bulk
Functional: GGA-PBE
Structure: optimized geometry

Geometry as CIF:
```
data_LaTl2Co
_chemical_formula_sum 'La3 Tl6 Co3'
_space_group_name_H-M_alt 'R -3 m'
_space_group_IT_number 166
_space_group_name_Hall '-R 3 2"'
_cell_length_a 4.5552
_cell_length_b 4.5552
_cell_length_c 16.8199
_cell_angle_alpha 90.00
_cell_angle_beta 90.00
_cell_angle_gamma 120.00
loop_
_atom_site_label
_atom_site_fract_x
_atom_site_fract_y
_atom_site_fract_z
_atom_site_occupancy
La1 0.0000 0.0000 0.0000 1
Tl1 0.0000 0.0000 0.2191 1
Co1 0.0000 0.0000 0.5000 1
```

## Properties
The calculated total energy comes out at -4.141 eV/atom.


(3)
Compound: CsMn2Se2
Source: Alexandria via LeMat-Bulk
Functional: GGA-PBE
Structure: optimized geometry

Geometry as CIF:
```
data_CsMn2Se2
_chemical_formula_sum 'Cs2 Mn4 Se4'
_space_group_name_H-M_alt 'I 4/m m m'
_space_group_IT_number 139
_space_group_name_Hall '-I 4 2'
_cell_length_a 5.0848
_cell_length_b 5.0848
_cell_length_c 10.7155
_cell_angle_alpha 90.00
_cell_angle_beta 90.00
_cell_angle_gamma 90.00
loop_
_atom_site_label
_atom_site_fract_x
_atom_site_fract_y
_atom_site_fract_z
_atom_site_occupancy
Cs1 0.0000 0.0000 0.0000 1
Mn1 0.0000 0.0000 0.3306 1
Se1 0.0000 0.5000 0.2500 1
```

## Properties
The calculated total energy comes out at -5.490 eV/atom. For the uncorrected formation energy, the calculation gives -258 meV per atom. The calculation puts the distance to the lowest polymorph of the same formula at 222 meV per atom.


(4)
Compound: Li5B8C8
Source: Alexandria via LeMat-Bulk
Functional: GGA-PBE
Structure: optimized geometry

Geometry as CIF:
```
data_Li5B8C8
_chemical_formula_sum 'Li10 B16 C16'
_space_group_name_H-M_alt 'C 1 2/m 1'
_space_group_IT_number 12
_cell_length_a 9.3165
_cell_length_b 5.4591
_cell_length_c 7.2187
_cell_angle_alpha 90.00
_cell_angle_beta 91.13
_cell_angle_gamma 90.00
loop_
_space_group_symop_operation_xyz
'x,y,z'
'-x,-y,-z'
'-x,y,-z'
'x,-y,z'
'x+1/2,y+1/2,z'
'-x+1/2,-y+1/2,-z'
'-x+1/2,y+1/2,-z'
'x+1/2,-y+1/2,z'
loop_
_atom_site_label
_atom_site_fract_x
_atom_site_fract_y
_atom_site_fract_z
_atom_site_occupancy
Li1 0.0000 0.0000 0.0000 1
Li2 0.0000 0.0000 0.5000 1
Li3 0.0000 0.5000 0.0000 1
Li4 0.2500 0.2500 0.5000 1
B1 0.0790 0.2517 0.2600 1
B2 0.1715 0.5000 0.7555 1
B3 0.1728 0.0000 0.7636 1
C1 0.0903 0.2493 0.7583 1
C2 0.1598 0.0000 0.2678 1
C3 0.1600 0.5000 0.2584 1
```

## Properties
The calculated total energy comes out at -6.653 eV/atom. The calculation puts the distance to the lowest polymorph of the same formula at 5 meV per atom.


(5)
Compound: PrSmSc4
Source: Alexandria via LeMat-Bulk
Functional: GGA-PBE
Structure: optimized geometry

Geometry as CIF:
```
data_PrSmSc4
_chemical_formula_sum 'Pr2 Sm2 Sc8'
_space_group_name_H-M_alt 'P m m n'
_space_group_IT_number 59
_cell_length_a 5.3825
_cell_length_b 10.2697
_cell_length_c 6.0483
_cell_angle_alpha 90.00
_cell_angle_beta 90.00
_cell_angle_gamma 90.00
loop_
_space_group_symop_operation_xyz
'x,y,z'
'-x,-y,-z'
'-x+1/2,-y+1/2,z'
'x+1/2,y+1/2,-z'
'x+1/2,-y,-z'
'-x+1/2,y,z'
'-x,y+1/2,-z'
'x,-y+1/2,z'
loop_
_atom_site_label
_atom_site_fract_x
_atom_site_fract_y
_atom_site_fract_z
_atom_site_occupancy
Pr1 0.2500 0.2500 0.0734 1
Sm1 0.2500 0.7500 0.5737 1
Sc1 0.2500 0.0777 0.5934 1
Sc2 0.2500 0.5782 0.0941 1
```

## Properties
The calculated total energy comes out at -5.756 eV/atom. The calculation puts the distance to the lowest polymorph of the same formula at 0 meV per atom.


(6)
Compound: TaHgGe2O8
Source: Alexandria via LeMat-Bulk
Functional: GGA-PBE
Structure: optimized geometry

Geometry as CIF:
```
data_TaHgGe2O8
_chemical_formula_sum 'Ta1 Hg1 Ge2 O8'
_space_group_name_H-M_alt 'P -3 m 1'
_space_group_IT_number 164
_space_group_name_Hall '-P 3 2"'
_cell_length_a 5.5871
_cell_length_b 5.5871
_cell_length_c 6.4993
_cell_angle_alpha 90.00
_cell_angle_beta 90.00
_cell_angle_gamma 120.00
loop_
_atom_site_label
_atom_site_fract_x
_atom_site_fract_y
_atom_site_fract_z
_atom_site_occupancy
Ta1 0.0000 0.0000 0.0000 1
Hg1 0.0000 0.0000 0.5000 1
Ge1 0.3333 0.6667 0.7230 1
O1 0.1612 0.3224 0.8127 1
O2 0.3333 0.6667 0.4539 1
```

## Properties
The calculated total energy comes out at -6.541 eV/atom. For the uncorrected formation energy, the calculation gives -1453 meV per atom.